Below is a geometry-optimized Nd2Ga5Au3 structure, with properties calculated at the PBEsol level.

Cell lengths 4.2199, 4.2199, 11.1549 Å; angles 90.00, 90.00, 90.00 degrees
Last column: nearest neighbours and their distance in Å.
Element x y z (fractional)
Nd 0.0000 0.5000 0.2466  6 Au 3.20-3.53, 10 Ga 3.25-3.53
Nd 0.5000 0.0000 0.7534  6 Au 3.20-3.53, 10 Ga 3.25-3.53
Ga 0.0000 0.0000 0.0000  4 Ga 2.57
Ga 0.0000 0.0000 0.5000  8 Au 2.70-2.98
Ga 0.0000 0.5000 0.8692  1 Au 2.44, 4 Ga 2.57
Ga 0.5000 0.0000 0.1308  1 Au 2.44, 4 Ga 2.57
Ga 0.5000 0.5000 0.0000  4 Ga 2.57
Au 0.0000 0.5000 0.6508  3 Ga 2.44-2.70, 2 Au 2.70
Au 0.5000 0.0000 0.3492  3 Ga 2.44-2.70, 2 Au 2.70
Au 0.5000 0.5000 0.5000  4 Au 2.70, 4 Ga 2.98

Calculated values
- Electronic total energy: -44.3 eV for the cell shown
- D(E_F): 4.77 states/eV per cell


Below is a geometry-optimized Ga2Ni2Au structure, with properties calculated at the PBEsol level.

Cell lengths 6.8847, 6.8847, 2.7768 Å; angles 90.00, 90.00, 90.00 degrees
Last column: nearest neighbours and their distance in Å.
Element x y z (fractional)
Ga 0.1459 0.3541 0.0000  6 Ni 2.45, 2 Au 2.64
Ga 0.3541 0.8541 0.0000  6 Ni 2.45, 2 Au 2.64
Ga 0.6459 0.1459 0.0000  6 Ni 2.45, 2 Au 2.64
Ga 0.8541 0.6459 0.0000  6 Ni 2.45, 2 Au 2.64
Ni 0.1469 0.6469 0.5000  6 Ga 2.45
Ni 0.3531 0.1469 0.5000  6 Ga 2.45
Ni 0.6469 0.8531 0.5000  6 Ga 2.45
Ni 0.8531 0.3531 0.5000  6 Ga 2.45
Au 0.0000 0.0000 0.0000  4 Ga 2.64, 2 Au 2.78
Au 0.5000 0.5000 0.0000  4 Ga 2.64, 2 Au 2.78

Calculated values
- Electronic total energy: -48.9 eV for the cell shown
- D(E_F): 4.76 states/eV per cell


Below is a geometry-optimized Ga2ReNiAu structure, with properties calculated at the PBEsol level.

Cell lengths 4.3111, 4.3111, 4.5325 Å; angles 90.00, 90.00, 90.00 degrees
Last column: nearest neighbours and their distance in Å.
Element x y z (fractional)
Ga 0.0000 0.5000 0.0000  2 Ni 2.16
Ga 0.5000 0.0000 0.0000  2 Ni 2.16
Re 0.0000 0.0000 0.5000  2 Ni 2.27
Ni 0.0000 0.0000 0.0000  4 Ga 2.16, 2 Re 2.27
Au 0.5000 0.5000 0.5000  4 Re 3.05, 8 Ga 3.13

Calculated values
- Electronic total energy: -26.3 eV for the cell shown
- D(E_F): 4.14 states/eV per cell


Below is a geometry-optimized GaAuO2 structure, with properties calculated at the PBEsol level.

Cell lengths 3.0002, 3.0002, 12.2885 Å; angles 90.00, 90.00, 120.00 degrees
Last column: nearest neighbours and their distance in Å.
Element x y z (fractional)
Ga 0.0000 0.0000 0.0000  6 O 2.00
Ga 0.0000 0.0000 0.5000  6 O 2.00
Au 0.3333 0.6667 0.2500  2 O 2.08
Au 0.6667 0.3333 0.7500  2 O 2.08
O 0.3333 0.6667 0.0810  3 Ga 2.00, 1 Au 2.08
O 0.3333 0.6667 0.4190  3 Ga 2.00, 1 Au 2.08
O 0.6667 0.3333 0.5810  3 Ga 2.00, 1 Au 2.08
O 0.6667 0.3333 0.9190  3 Ga 2.00, 1 Au 2.08

Calculated values
- ΔE_f (raw): -4.8 eV/f.u.
- Electronic total energy: -45.1 eV for the cell shown
- D(E_F): 1.00 states/eV per cell


Below is a geometry-optimized Ga2PWAu structure, with properties calculated at the PBEsol level.

Cell lengths 4.6918, 4.6918, 4.9079 Å; angles 90.00, 90.00, 90.00 degrees
Last column: nearest neighbours and their distance in Å.
Element x y z (fractional)
Ga 0.0000 0.5000 0.0000  2 Au 2.35
Ga 0.5000 0.0000 0.0000  2 Au 2.35
P 0.0000 0.0000 0.5000  2 Au 2.45
W 0.5000 0.5000 0.5000  4 P 3.32, 8 Ga 3.39
Au 0.0000 0.0000 0.0000  4 Ga 2.35, 2 P 2.45

Calculated values
- Electronic total energy: -22.9 eV for the cell shown
- D(E_F): 2.79 states/eV per cell


Below is a geometry-optimized GaPbAu3 structure, with properties calculated at the PBEsol level.

Cell lengths 4.8283, 4.8283, 4.8283 Å; angles 90.00, 90.00, 90.00 degrees
Last column: nearest neighbours and their distance in Å.
Element x y z (fractional)
Ga 0.0000 0.0000 0.0000  6 Au 2.41
Pb 0.5000 0.5000 0.5000  12 Au 3.41
Au 0.0000 0.0000 0.5000  2 Ga 2.41
Au 0.0000 0.5000 0.0000  2 Ga 2.41
Au 0.5000 0.0000 0.0000  2 Ga 2.41

Calculated values
- Electronic total energy: -18.2 eV for the cell shown
- D(E_F): 1.35 states/eV per cell


Below is a geometry-optimized Ga2PbAu2 structure, with properties calculated at the PBEsol level.

Cell lengths 6.7202, 6.7202, 6.7202 Å; angles 144.88, 144.88, 50.52 degrees
Last column: nearest neighbours and their distance in Å.
Element x y z (fractional)
Ga 0.2500 0.7500 0.5000  4 Au 2.61, 4 Ga 2.87
Ga 0.7500 0.2500 0.5000  4 Au 2.61, 4 Ga 2.87
Pb 0.0000 0.0000 0.0000  8 Au 3.19
Au 0.3856 0.3856 0.0000  4 Ga 2.61, 1 Au 2.78
Au 0.6144 0.6144 0.0000  4 Ga 2.61, 1 Au 2.78

Calculated values
- Electronic total energy: -19.3 eV for the cell shown
- D(E_F): 2.21 states/eV per cell


Below is a geometry-optimized GaPb2Au2 structure, with properties calculated at the PBEsol level.

Cell lengths 6.8002, 6.8002, 4.9166 Å; angles 90.00, 90.00, 90.00 degrees
Last column: nearest neighbours and their distance in Å.
Element x y z (fractional)
Ga 0.0000 0.0000 0.0000  4 Au 2.61
Ga 0.5000 0.5000 0.0000  4 Au 2.61
Pb 0.1756 0.3244 0.5000  6 Au 3.01-3.29
Pb 0.3244 0.8244 0.5000  6 Au 3.01-3.29
Pb 0.6756 0.1756 0.5000  6 Au 3.01-3.29
Pb 0.8244 0.6756 0.5000  6 Au 3.01-3.29
Au 0.1442 0.6442 0.0000  2 Ga 2.61, 1 Au 2.77
Au 0.3558 0.1442 0.0000  2 Ga 2.61, 1 Au 2.77
Au 0.6442 0.8558 0.0000  2 Ga 2.61, 1 Au 2.77
Au 0.8558 0.3558 0.0000  2 Ga 2.61, 1 Au 2.77

Calculated values
- Electronic total energy: -38.6 eV for the cell shown
- D(E_F): 5.21 states/eV per cell


Below is a geometry-optimized Ga2Pd2Au structure, with properties calculated at the PBEsol level.

Cell lengths 7.2828, 7.2828, 2.8573 Å; angles 90.00, 90.00, 90.00 degrees
Last column: nearest neighbours and their distance in Å.
Element x y z (fractional)
Ga 0.1600 0.3400 0.0000  6 Pd 2.52-2.61
Ga 0.3400 0.8400 0.0000  6 Pd 2.52-2.61
Ga 0.6600 0.1600 0.0000  6 Pd 2.52-2.61
Ga 0.8400 0.6600 0.0000  6 Pd 2.52-2.61
Pd 0.1385 0.6385 0.5000  6 Ga 2.52-2.61, 2 Au 2.82
Pd 0.3615 0.1385 0.5000  6 Ga 2.52-2.61, 2 Au 2.82
Pd 0.6385 0.8615 0.5000  6 Ga 2.52-2.61, 2 Au 2.82
Pd 0.8615 0.3615 0.5000  6 Ga 2.52-2.61, 2 Au 2.82
Au 0.0000 0.0000 0.5000  4 Pd 2.82, 2 Au 2.86, 8 Ga 3.09
Au 0.5000 0.5000 0.5000  4 Pd 2.82, 2 Au 2.86, 8 Ga 3.09

Calculated values
- ΔE to the lowest computed polymorph: 0.0000 eV/atom
- Electronic total energy: -49.8 eV for the cell shown
- D(E_F): 3.84 states/eV per cell


Below is a geometry-optimized Ga2Pd2Au structure, with properties calculated at the PBEsol level.

Cell lengths 6.2014, 6.2014, 6.2014 Å; angles 143.75, 143.75, 52.20 degrees
Last column: nearest neighbours and their distance in Å.
Element x y z (fractional)
Ga 0.1084 0.1084 0.0000  1 Ga 2.41, 4 Pd 2.49
Ga 0.8916 0.8916 0.0000  1 Ga 2.41, 4 Pd 2.49
Pd 0.2500 0.7500 0.5000  4 Ga 2.49, 4 Pd 2.73
Pd 0.7500 0.2500 0.5000  4 Ga 2.49, 4 Pd 2.73
Au 0.5000 0.5000 0.0000  8 Ga 2.98

Calculated values
- ΔE to the lowest computed polymorph: 0.2289 eV/atom
- Electronic total energy: -23.8 eV for the cell shown
- D(E_F): 1.72 states/eV per cell


Below is a geometry-optimized Pr2Ga5Au3 structure, with properties calculated at the PBEsol level.

Cell lengths 4.3034, 4.3034, 10.6557 Å; angles 90.00, 90.00, 90.00 degrees
Last column: nearest neighbours and their distance in Å.
Element x y z (fractional)
Pr 0.0000 0.5000 0.2481  10 Ga 3.27-3.44, 6 Au 3.30-3.41
Pr 0.5000 0.0000 0.7519  10 Ga 3.27-3.44, 6 Au 3.30-3.41
Ga 0.0000 0.0000 0.5000  4 Au 2.57
Ga 0.0000 0.5000 0.8640  3 Au 2.48-2.59, 2 Ga 2.59
Ga 0.5000 0.0000 0.1360  3 Au 2.48-2.59, 2 Ga 2.59
Ga 0.5000 0.5000 0.0000  4 Ga 2.59
Ga 0.5000 0.5000 0.5000  4 Au 2.57
Au 0.0000 0.0000 0.0000  4 Ga 2.59
Au 0.0000 0.5000 0.6316  5 Ga 2.48-2.57
Au 0.5000 0.0000 0.3684  5 Ga 2.48-2.57

Calculated values
- Electronic total energy: -45.8 eV for the cell shown
- D(E_F): 3.65 states/eV per cell


Below is a geometry-optimized Ga2Pt2Au structure, with properties calculated at the PBEsol level.

Cell lengths 7.3890, 7.3890, 2.8244 Å; angles 90.00, 90.00, 90.00 degrees
Last column: nearest neighbours and their distance in Å.
Element x y z (fractional)
Ga 0.1565 0.3435 0.0000  6 Pt 2.53-2.62, 2 Ga 2.82
Ga 0.3435 0.8435 0.0000  6 Pt 2.53-2.62, 2 Ga 2.82
Ga 0.6565 0.1565 0.0000  6 Pt 2.53-2.62, 2 Ga 2.82
Ga 0.8435 0.6565 0.0000  6 Pt 2.53-2.62, 2 Ga 2.82
Pt 0.1422 0.6422 0.5000  6 Ga 2.53-2.62, 2 Pt 2.82
Pt 0.3578 0.1422 0.5000  6 Ga 2.53-2.62, 2 Pt 2.82
Pt 0.6422 0.8578 0.5000  6 Ga 2.53-2.62, 2 Pt 2.82
Pt 0.8578 0.3578 0.5000  6 Ga 2.53-2.62, 2 Pt 2.82
Au 0.0000 0.0000 0.5000  2 Au 2.82, 4 Pt 2.84, 8 Ga 3.13
Au 0.5000 0.5000 0.5000  2 Au 2.82, 4 Pt 2.84, 8 Ga 3.13

Calculated values
- Electronic total energy: -53.9 eV for the cell shown
- D(E_F): 2.16 states/eV per cell